Entry 1:
Er8NiPt2 GGA-PBE relaxed; space-group type = Cm, No. 8; offset from the most stable computed form = 0.092 eV per atom; uncorrected energy = -5.42 eV per atom; formation energy from the elements = -0.474 eV per atom
1.0
-5.2317 -2.3168 1.6447
2.8507 -5.6532 -4.0017
3.3792 0.7123 6.6462
Er Ni Pt
8 1 2
direct
0.3691 0.9258 0.6663
0.3691 0.6663 0.9258
0.9888 0.7903 0.2086
0.9888 0.2086 0.7903
0.5847 0.3423 0.0828
0.5847 0.0828 0.3423
0.1689 0.3560 0.3560
0.8044 0.6466 0.6466
0.1765 0.0042 0.0042
0.4824 0.3204 0.6907
0.4824 0.6907 0.3204

Entry 2:
Ca3Zr2PaP6 GGA-PBE relaxed; space-group type = C2/m, No. 12; uncorrected energy = -6.70 eV per atom; formation energy from the elements = -1.282 eV per atom
1.0
-4.9586 -4.1503 2.0810
5.0869 -2.4229 -3.7942
3.4011 0.8308 6.0595
P Zr Ca Pa
6 2 3 1
direct
0.0755 0.4135 0.2268
0.9245 0.5865 0.7732
0.2624 0.2624 0.7738
0.4135 0.0755 0.2268
0.7376 0.7376 0.2262
0.5865 0.9245 0.7732
0.3334 0.6666 0.0000
0.6666 0.3334 0.0000
0.5000 0.5000 0.5000
0.8341 0.1659 0.5000
0.1659 0.8341 0.5000
0.0000 0.0000 0.0000